1.
# PBE LaPr3Ru, optimized geometry
# - Calculated formation energy: -0.072 eV/atom
# - Magnetization: 0.00 μB/cell
# - D(E_F): 7.00 states/eV/f.u.
data_LaPr3Ru
_space_group_name_H-M_alt 'P m n 21'
_space_group_IT_number 31
_space_group_name_Hall 'P 2ac -2'
_cell_length_a 7.9698
_cell_length_b 6.6523
_cell_length_c 6.5224
_cell_angle_alpha 90.00
_cell_angle_beta 90.00
_cell_angle_gamma 90.00
loop_
_atom_site_label
_atom_site_type_symbol
_atom_site_fract_x
_atom_site_fract_y
_atom_site_fract_z
La1 La 0.0000 0.1660 0.0000
Pr1 Pr 0.0000 0.8340 0.4932
Pr2 Pr 0.2481 0.6817 0.0004
Ru1 Ru 0.0000 0.4866 0.7567

2.
# PBE Cd8Ag, optimized geometry
# - Calculated formation energy: 0.007 eV/atom
# - Magnetization: 0.00 μB/cell
# - D(E_F): 2.50 states/eV/f.u.
data_Cd8Ag
_space_group_name_H-M_alt 'I 4/m m m'
_space_group_IT_number 139
_space_group_name_Hall '-I 4 2'
_cell_length_a 9.5667
_cell_length_b 9.5667
_cell_length_c 4.2869
_cell_angle_alpha 90.00
_cell_angle_beta 90.00
_cell_angle_gamma 90.00
loop_
_atom_site_label
_atom_site_type_symbol
_atom_site_fract_x
_atom_site_fract_y
_atom_site_fract_z
Cd1 Cd 0.0000 0.3304 0.0000
Cd2 Cd 0.1632 0.1632 0.5000
Ag1 Ag 0.0000 0.0000 0.0000

3.
# PBE Be2NbPd2, optimized geometry
# - Calculated formation energy: -0.224 eV/atom
# - Magnetization: 0.00 μB/cell
# - D(E_F): 3.60 states/eV/f.u.
data_Be2NbPd2
_space_group_name_H-M_alt 'P 4/m b m'
_space_group_IT_number 127
_space_group_name_Hall '-P 4 2ab'
_cell_length_a 7.0522
_cell_length_b 7.0522
_cell_length_c 2.6821
_cell_angle_alpha 90.00
_cell_angle_beta 90.00
_cell_angle_gamma 90.00
loop_
_atom_site_label
_atom_site_type_symbol
_atom_site_fract_x
_atom_site_fract_y
_atom_site_fract_z
Be1 Be 0.1624 0.3376 0.0000
Nb1 Nb 0.0000 0.0000 0.5000
Pd1 Pd 0.1356 0.6356 0.5000

4.
# PBE Cs5CdSb2, optimized geometry
# - Magnetization: 0.01 μB/cell
# - D(E_F): 5.90 states/eV/f.u.
# - Energy relative to the elements, uncorrected: -0.31 eV/atom
data_Cs5CdSb2
_space_group_name_H-M_alt 'R -3 m'
_space_group_IT_number 166
_space_group_name_Hall '-R 3 2"'
_cell_length_a 6.7456
_cell_length_b 6.7456
_cell_length_c 31.4668
_cell_angle_alpha 90.00
_cell_angle_beta 90.00
_cell_angle_gamma 120.00
loop_
_atom_site_label
_atom_site_type_symbol
_atom_site_fract_x
_atom_site_fract_y
_atom_site_fract_z
Cs1 Cs 0.0000 0.0000 0.0000
Cs2 Cs 0.0000 0.0000 0.1314
Cs3 Cs 0.0000 0.0000 0.2814
Cd1 Cd 0.0000 0.0000 0.5000
Sb1 Sb 0.0000 0.0000 0.4112

5.
# PBE SiBMo2, optimized geometry
# - Magnetization: 0.00 μB/cell
# - D(E_F): 2.34 states/eV/f.u.
# - Energy relative to the elements, uncorrected: 0.12 eV/atom
data_SiBMo2
_space_group_name_H-M_alt 'R -3 m'
_space_group_IT_number 166
_space_group_name_Hall '-R 3 2"'
_cell_length_a 3.0798
_cell_length_b 3.0798
_cell_length_c 21.9542
_cell_angle_alpha 90.00
_cell_angle_beta 90.00
_cell_angle_gamma 120.00
loop_
_atom_site_label
_atom_site_type_symbol
_atom_site_fract_x
_atom_site_fract_y
_atom_site_fract_z
Si1 Si 0.0000 0.0000 0.0000
B1 B 0.0000 0.0000 0.5000
Mo1 Mo 0.0000 0.0000 0.1108

6.
# PBE Na2BiPb8, optimized geometry
# - Calculated formation energy: -0.052 eV/atom
# - Magnetization: 0.00 μB/cell
# - D(E_F): 4.03 states/eV/f.u.
data_Na2BiPb8
_space_group_name_H-M_alt 'C 1 2/m 1'
_space_group_IT_number 12
_space_group_name_Hall '-C 2y'
_cell_length_a 18.1019
_cell_length_b 4.9175
_cell_length_c 7.9986
_cell_angle_alpha 90.00
_cell_angle_beta 106.55
_cell_angle_gamma 90.00
loop_
_atom_site_label
_atom_site_type_symbol
_atom_site_fract_x
_atom_site_fract_y
_atom_site_fract_z
Na1 Na 0.2257 0.0000 0.1413
Bi1 Bi 0.0000 0.5000 0.5000
Pb1 Pb 0.0430 0.0000 0.2317
Pb2 Pb 0.0891 0.5000 0.9688
Pb3 Pb 0.1346 0.0000 0.6790
Pb4 Pb 0.1845 0.5000 0.4166

7.
# PBE Pa2TiTe4, optimized geometry
# - Magnetization: 6.27 μB/cell
# - D(E_F): 10.90 states/eV/f.u.
# - Energy relative to the elements, uncorrected: -0.71 eV/atom
data_Pa2TiTe4
_space_group_name_H-M_alt 'C 1 2/m 1'
_space_group_IT_number 12
_space_group_name_Hall '-C 2y'
_cell_length_a 15.9512
_cell_length_b 3.9942
_cell_length_c 7.0495
_cell_angle_alpha 90.00
_cell_angle_beta 115.47
_cell_angle_gamma 90.00
loop_
_atom_site_label
_atom_site_type_symbol
_atom_site_fract_x
_atom_site_fract_y
_atom_site_fract_z
Pa1 Pa 0.2474 0.0000 0.2432
Ti1 Ti 0.0000 0.0000 0.0000
Te1 Te 0.1065 0.5000 0.2866
Te2 Te 0.1085 0.0000 0.7755

8.
# PBE Pm2YAl9, optimized geometry
# - Calculated formation energy: -0.362 eV/atom
# - Magnetization: 0.00 μB/cell
# - D(E_F): 5.61 states/eV/f.u.
data_Pm2YAl9
_space_group_name_H-M_alt 'R -3 m'
_space_group_IT_number 166
_space_group_name_Hall '-R 3 2"'
_cell_length_a 5.6338
_cell_length_b 5.6338
_cell_length_c 26.4412
_cell_angle_alpha 90.00
_cell_angle_beta 90.00
_cell_angle_gamma 120.00
loop_
_atom_site_label
_atom_site_type_symbol
_atom_site_fract_x
_atom_site_fract_y
_atom_site_fract_z
Pm1 Pm 0.0000 0.0000 0.1419
Y1 Y 0.0000 0.0000 0.0000
Al1 Al 0.0000 0.0000 0.3353
Al2 Al 0.0000 0.0000 0.5000
Al3 Al 0.0072 0.5036 0.9175

9.
# PBE Tl2ZnIn, optimized geometry
# - Calculated formation energy: 0.106 eV/atom
# - Magnetization: 0.00 μB/cell
# - D(E_F): 1.27 states/eV/f.u.
data_Tl2ZnIn
_space_group_name_H-M_alt 'P 4/m m m'
_space_group_IT_number 123
_space_group_name_Hall '-P 4 2'
_cell_length_a 3.7398
_cell_length_b 3.7398
_cell_length_c 7.5639
_cell_angle_alpha 90.00
_cell_angle_beta 90.00
_cell_angle_gamma 90.00
loop_
_atom_site_label
_atom_site_type_symbol
_atom_site_fract_x
_atom_site_fract_y
_atom_site_fract_z
Tl1 Tl 0.0000 0.0000 0.2270
Zn1 Zn 0.5000 0.5000 0.0000
In1 In 0.5000 0.5000 0.5000

10.
# PBE Zr2Sn2Sb, optimized geometry
# - Magnetization: 0.00 μB/cell
# - D(E_F): 5.55 states/eV/f.u.
# - Energy relative to the elements, uncorrected: -0.14 eV/atom
data_Zr2Sn2Sb
_space_group_name_H-M_alt 'P 4/m b m'
_space_group_IT_number 127
_space_group_name_Hall '-P 4 2ab'
_cell_length_a 7.9204
_cell_length_b 7.9204
_cell_length_c 3.9202
_cell_angle_alpha 90.00
_cell_angle_beta 90.00
_cell_angle_gamma 90.00
loop_
_atom_site_label
_atom_site_type_symbol
_atom_site_fract_x
_atom_site_fract_y
_atom_site_fract_z
Zr1 Zr 0.1516 0.3484 0.0000
Sn1 Sn 0.1423 0.6423 0.5000
Sb1 Sb 0.0000 0.0000 0.5000

11.
# PBE MnTe3Pt, optimized geometry
# - Magnetization: 0.00 μB/cell
# - D(E_F): 4.80 states/eV/f.u.
# - Energy relative to the elements, uncorrected: 0.77 eV/atom
data_MnTe3Pt
_space_group_name_H-M_alt 'P m -3 m'
_space_group_IT_number 221
_space_group_name_Hall '-P 4 2 3'
_cell_length_a 4.9144
_cell_length_b 4.9144
_cell_length_c 4.9144
_cell_angle_alpha 90.00
_cell_angle_beta 90.00
_cell_angle_gamma 90.00
loop_
_atom_site_label
_atom_site_type_symbol
_atom_site_fract_x
_atom_site_fract_y
_atom_site_fract_z
Mn1 Mn 0.0000 0.0000 0.0000
Te1 Te 0.0000 0.0000 0.5000
Pt1 Pt 0.5000 0.5000 0.5000

12.
# PBE ErScPd3, optimized geometry
# - Calculated formation energy: -0.731 eV/atom
# - Magnetization: 0.00 μB/cell
# - D(E_F): 2.81 states/eV/f.u.
data_ErScPd3
_space_group_name_H-M_alt 'P n m a'
_space_group_IT_number 62
_space_group_name_Hall '-P 2ac 2n'
_cell_length_a 8.0093
_cell_length_b 7.5437
_cell_length_c 6.5951
_cell_angle_alpha 90.00
_cell_angle_beta 90.00
_cell_angle_gamma 90.00
loop_
_atom_site_label
_atom_site_type_symbol
_atom_site_fract_x
_atom_site_fract_y
_atom_site_fract_z
Er1 Er 0.1130 0.2500 0.0360
Sc1 Sc 0.0000 0.0000 0.5000
Pd1 Pd 0.1690 0.7500 0.2071
Pd2 Pd 0.1949 0.5697 0.8300